A plane-wave DFT calculation with PBE was carried out for crystalline Ti2InB at its relaxed geometry.

a b c (Å): 3.227 3.227 7.501
angles (deg): 77.58 77.58 60.00
Sites, in units of the cell vectors:
B1 0.000 0.000 0.000
Ti1 0.279 0.279 0.162
Ti2 0.721 0.721 0.838
In1 0.500 0.500 0.500

Computed properties:
The symmetry is R-3m (166). The calculation puts the total energy at -6.666 eV/atom. For the energy above the most stable polymorph in this dataset, the calculation gives 0 meV/atom. As for the formation energy: -365 meV/atom. The density of states at the Fermi level is 2.58 states/eV/cell. The value obtained for the calculated volume is 65.5 Å³/f.u.